(1)
Entry from Alexandria via LeMat-Bulk: TlOsW2 after structural relaxation (PBE).

It has space group P4/mmm (No. 123), with a = 3.9858 Å, b = 3.9858 Å, c = 4.2570 Å, α = 90.00°, β = 90.00° and γ = 90.00°. The asymmetric unit holds Tl at (0.0000, 0.0000, 0.0000), Os at (0.5000, 0.5000, 0.0000) and W at (0.0000, 0.5000, 0.5000).

As for the crystal system: tetragonal. The energy relative to the lowest polymorph listed for this composition is 0.3520 eV/atom.

***

(2)
Entry from Alexandria via LeMat-Bulk: Ba2ZnRhSe after structural relaxation (PBE).

It has space group P4/mmm (No. 123), with a = 5.8692 Å, b = 5.8692 Å, c = 4.7746 Å, α = 90.00°, β = 90.00° and γ = 90.00°. The asymmetric unit holds Ba at (0.0000, 0.5000, 0.0000), Zn at (0.0000, 0.0000, 0.5000), Rh at (0.0000, 0.0000, 0.0000) and Se at (0.5000, 0.5000, 0.5000).

As for the crystal system: tetragonal. The raw formation energy is -730 meV per atom.

***

(3)
Entry from Alexandria via LeMat-Bulk: InGaTc3 after structural relaxation (PBE).

It has space group Pm-3m (No. 221), with a = 4.9347 Å, b = 4.9347 Å, c = 4.9347 Å, α = 90.00°, β = 90.00° and γ = 90.00°. The asymmetric unit holds In at (0.0000, 0.0000, 0.0000), Ga at (0.5000, 0.5000, 0.5000) and Tc at (0.0000, 0.0000, 0.5000).

As for the crystal system: cubic. The energy relative to the lowest polymorph listed for this composition is 0.9781 eV/atom.

***

(4)
Entry from Alexandria via LeMat-Bulk: Al6ZnGa12 after structural relaxation (PBE).

It has space group R-3 (No. 148, hexagonal axes), with a = 11.0042 Å, b = 11.0042 Å, c = 10.4139 Å, α = 90.00°, β = 90.00° and γ = 120.00°. The asymmetric unit holds Al at (0.0333, 0.8716, 0.1995), Zn at (0.0000, 0.0000, 0.5000), Ga at (0.0546, 0.7968, 0.4382) and Ga at (0.0581, 0.7987, 0.9422).

For the total energy, the calculation gives -3.10 eV/atom. As for the crystal system: trigonal.

***

(5)
Entry from Alexandria via LeMat-Bulk: Ag5PdAu2 after structural relaxation (PBE).

It has space group Cm (No. 8), with a = 9.5974 Å, b = 5.7771 Å, c = 5.0786 Å, α = 90.00°, β = 90.08° and γ = 90.00°. The asymmetric unit holds Ag at (0.0000, 0.0000, 0.0000), Ag at (0.9996, 0.2489, 0.5039), Ag at (0.2488, 0.2471, 0.1744), Pd at (0.2506, 0.0000, 0.6731), Au at (0.2489, 0.5000, 0.6742) and Au at (0.4976, 0.0000, 0.0021).

For the total energy, the calculation gives -3.29 eV/atom. As for the crystal system: monoclinic.

***

(6)
Entry from Alexandria via LeMat-Bulk: TbDyIn2 after structural relaxation (PBE).

It has space group Cmmm (No. 65), with a = 6.9656 Å, b = 8.6538 Å, c = 3.5241 Å, α = 90.00°, β = 90.00° and γ = 90.00°. The asymmetric unit holds Tb at (0.0000, 0.0000, 0.0000), Dy at (0.0000, 0.5000, 0.0000) and In at (0.2500, 0.2500, 0.5000).

For the total energy, the calculation gives -4.15 eV/atom. As for the crystal system: orthorhombic.

***

Number 2 is which compound?
Ba2ZnRhSe